Material: Np3ReS6
Method: DFT, PBE
State: relaxed

```
Np3ReS6
1.0
5.742 3.315 3.738
-5.742 3.315 3.738
0.000 -6.630 3.738
Np Re S
6 2 12
Cartesian
-2.823 -2.802 5.752 Np
-3.838 1.044 5.463 Np
1.015 -3.846 5.463 Np
-1.015 3.846 5.752 Np
3.838 -1.044 5.752 Np
2.823 2.802 5.463 Np
0.000 0.000 0.000 Re
0.000 0.000 5.607 Re
-1.367 -4.929 4.862 S
-4.952 -1.280 6.353 S
-1.943 -0.550 4.283 S
-3.585 3.648 4.862 S
1.448 -1.408 4.283 S
-0.495 -1.958 6.932 S
0.495 1.958 4.283 S
-1.448 1.408 6.932 S
3.585 -3.648 6.353 S
1.943 0.550 6.932 S
4.952 1.280 4.862 S
1.367 4.929 6.353 S
```

Symmetry: No. 148
Uncorrected formation energy: -1.057 eV/atom
E_tot: -8.660 eV/atom
Crystal system: trigonal

Material: NpReS4
Method: DFT, PBE
State: relaxed

```
NpReS4
1.0
-4.247 4.247 3.569
4.247 -4.247 3.569
4.247 4.247 -3.569
Np Re S
2 2 8
Cartesian
0.000 0.000 0.000 Np
0.000 4.247 1.784 Np
4.247 0.000 1.862 Re
0.000 0.000 3.647 Re
2.578 0.000 0.192 S
5.916 0.000 0.192 S
4.247 2.578 -1.592 S
0.000 1.669 1.977 S
1.792 4.247 -0.072 S
2.455 0.000 3.497 S
4.247 2.455 1.713 S
0.000 1.792 5.282 S
```

Symmetry: No. 109
Uncorrected formation energy: -0.616 eV/atom
E_tot: -7.599 eV/atom
Crystal system: tetragonal

Material: NpReSb
Method: DFT, PBE
State: relaxed

```
NpReSb
1.0
3.067 0.000 0.000
0.000 3.067 0.000
0.000 0.000 29.672
Np Re Sb
4 4 4
Cartesian
0.000 0.000 4.572 Np
0.000 0.000 25.100 Np
1.534 1.534 10.264 Np
1.534 1.534 19.408 Np
0.000 0.000 8.167 Re
0.000 0.000 21.505 Re
1.534 1.534 6.669 Re
1.534 1.534 23.003 Re
0.000 0.000 12.836 Sb
0.000 0.000 16.836 Sb
1.534 1.534 2.000 Sb
1.534 1.534 27.672 Sb
```

Symmetry: No. 139
Uncorrected formation energy: 0.075 eV/atom
E_tot: -9.763 eV/atom
Crystal system: tetragonal